Below is a geometry-optimized Cs3NiO2 structure, with properties calculated at the PBE with a Hubbard U level.

The value obtained for the total energy is -40.9 eV per cell. The total magnetization comes out at 2.005 μB per cell.

a b c (Å): 6.7999 6.8000 8.2650
angles (deg): 90.00 90.00 85.53
Sites, in units of the cell vectors:
Cs1 0.8305 0.8305 0.7476
Cs2 0.1695 0.1695 0.2476
Cs3 0.3060 0.7179 0.5189
Cs4 0.2822 0.6940 0.0189
Cs5 0.7179 0.3060 0.5189
Cs6 0.6940 0.2822 0.0189
Ni1 0.7605 0.7605 0.3154
Ni2 0.2394 0.2395 0.8153
O1 0.5896 0.5896 0.2462
O2 0.4103 0.4104 0.7462
O3 0.9250 0.9250 0.4031
O4 0.0750 0.0749 0.9031